Entry 1:
PBE-GGA TiGaSb, optimized geometry; SG = No. 129; magnetization = 0.0001 μB per atom; energy relative to the lowest polymorph listed for this composition = 0.0000 eV/atom; raw formation energy = -324.7 meV per atom
1.0
-0.725 2.714 2.545
0.586 -2.477 2.809
7.881 1.997 0.117
Ti Ga Sb
2 2 2
direct
0.000 0.500 0.736 Ti
0.500 0.000 0.264 Ti
0.000 0.000 0.000 Ga
0.500 0.500 0.000 Ga
0.000 0.500 0.365 Sb
0.500 0.000 0.635 Sb

Entry 2:
PBE-GGA Ti5GaSb2, optimized geometry; SG = No. 63; magnetization = 0.0000 μB per atom; energy relative to the lowest polymorph listed for this composition = 0.6029 eV/atom; raw formation energy = 57.2 meV per atom
1.0
4.658 0.000 0.000
-2.329 6.461 0.000
0.000 0.000 11.530
Ti Ga Sb
10 2 4
direct
0.891 0.782 0.869 Ti
0.891 0.782 0.631 Ti
0.305 0.609 0.484 Ti
0.305 0.609 0.016 Ti
0.697 0.394 0.250 Ti
0.303 0.606 0.750 Ti
0.695 0.391 0.516 Ti
0.695 0.391 0.984 Ti
0.109 0.218 0.131 Ti
0.109 0.218 0.369 Ti
0.703 0.407 0.750 Ga
0.297 0.593 0.250 Ga
0.894 0.788 0.388 Sb
0.894 0.788 0.112 Sb
0.106 0.212 0.612 Sb
0.106 0.212 0.888 Sb